Record 1
SrZrTa3 | PBE | optimized geometry

Properties
Size of the total moment = 0.0 μB/f.u.
N(E_F) = 8.0 states/eV/f.u.
ΔH_f (0 K) = 2.54 eV/atom

```
data_SrZrTa3
_symmetry_space_group_name_H-M 'P 1'
_symmetry_Int_Tables_number 1
_cell_length_a 4.888
_cell_length_b 4.888
_cell_length_c 4.888
_cell_angle_alpha 90.00
_cell_angle_beta 90.00
_cell_angle_gamma 90.00
loop_
_symmetry_equiv_pos_as_xyz
'x,y,z'
loop_
_atom_site_label
_atom_site_type_symbol
_atom_site_fract_x
_atom_site_fract_y
_atom_site_fract_z
Sr1 Sr 0.000 0.000 0.000
Zr1 Zr 0.500 0.500 0.500
Ta1 Ta 0.000 0.500 0.000
Ta2 Ta 0.000 0.000 0.500
Ta3 Ta 0.500 0.000 0.000
```


Record 2
SrZr2Ta | PBE | optimized geometry

Properties
Size of the total moment = 0.0 μB/f.u.
N(E_F) = 4.7 states/eV/f.u.
ΔH_f (0 K) = 0.49 eV/atom

```
data_SrZr2Ta
_symmetry_space_group_name_H-M 'P 1'
_symmetry_Int_Tables_number 1
_cell_length_a 3.164
_cell_length_b 3.164
_cell_length_c 10.321
_cell_angle_alpha 90.00
_cell_angle_beta 90.00
_cell_angle_gamma 90.03
loop_
_symmetry_equiv_pos_as_xyz
'x,y,z'
loop_
_atom_site_label
_atom_site_type_symbol
_atom_site_fract_x
_atom_site_fract_y
_atom_site_fract_z
Sr1 Sr 0.000 0.000 0.514
Ta1 Ta 0.500 0.500 0.790
Zr1 Zr 0.000 0.000 0.991
Zr2 Zr 0.500 0.500 0.205
```


Record 3
SrZr4Ta | PBE | optimized geometry

Properties
Size of the total moment = 2.8 μB/f.u.
N(E_F) = 10.7 states/eV/f.u.
ΔH_f (0 K) = 0.68 eV/atom

```
data_SrZr4Ta
_symmetry_space_group_name_H-M 'P 1'
_symmetry_Int_Tables_number 1
_cell_length_a 5.967
_cell_length_b 5.967
_cell_length_c 5.967
_cell_angle_alpha 60.00
_cell_angle_beta 60.00
_cell_angle_gamma 60.00
loop_
_symmetry_equiv_pos_as_xyz
'x,y,z'
loop_
_atom_site_label
_atom_site_type_symbol
_atom_site_fract_x
_atom_site_fract_y
_atom_site_fract_z
Sr1 Sr 0.750 0.750 0.750
Zr1 Zr 0.884 0.372 0.372
Zr2 Zr 0.372 0.372 0.884
Zr3 Zr 0.372 0.884 0.372
Zr4 Zr 0.372 0.372 0.372
Ta1 Ta 0.000 0.000 0.000
```


Record 4
SrZr2Ta | PBE | optimized geometry

Properties
Size of the total moment = 0.1 μB/f.u.
N(E_F) = 4.8 states/eV/f.u.
ΔH_f (0 K) = 0.79 eV/atom

```
data_SrZr2Ta
_symmetry_space_group_name_H-M 'P 1'
_symmetry_Int_Tables_number 1
_cell_length_a 5.187
_cell_length_b 5.187
_cell_length_c 5.187
_cell_angle_alpha 60.00
_cell_angle_beta 60.00
_cell_angle_gamma 60.00
loop_
_symmetry_equiv_pos_as_xyz
'x,y,z'
loop_
_atom_site_label
_atom_site_type_symbol
_atom_site_fract_x
_atom_site_fract_y
_atom_site_fract_z
Sr1 Sr 0.500 0.500 0.500
Ta1 Ta 0.750 0.750 0.750
Zr1 Zr 0.000 0.000 0.000
Zr2 Zr 0.250 0.250 0.250
```


Record 5
SrZrTa | PBE | optimized geometry

Properties
Size of the total moment = 0.0 μB/f.u.
N(E_F) = 3.6 states/eV/f.u.
ΔH_f (0 K) = 0.61 eV/atom

```
data_SrZrTa
_symmetry_space_group_name_H-M 'P 1'
_symmetry_Int_Tables_number 1
_cell_length_a 8.482
_cell_length_b 8.482
_cell_length_c 8.482
_cell_angle_alpha 159.02
_cell_angle_beta 159.02
_cell_angle_gamma 29.84
loop_
_symmetry_equiv_pos_as_xyz
'x,y,z'
loop_
_atom_site_label
_atom_site_type_symbol
_atom_site_fract_x
_atom_site_fract_y
_atom_site_fract_z
Sr1 Sr 0.992 0.992 0.000
Ta1 Ta 0.318 0.318 0.000
Zr1 Zr 0.690 0.690 0.000
```


Record 6
SrZr2Ta | PBE | optimized geometry

Properties
Size of the total moment = 0.0 μB/f.u.
N(E_F) = 4.9 states/eV/f.u.
ΔH_f (0 K) = 1.09 eV/atom

```
data_SrZr2Ta
_symmetry_space_group_name_H-M 'P 1'
_symmetry_Int_Tables_number 1
_cell_length_a 4.492
_cell_length_b 4.492
_cell_length_c 10.869
_cell_angle_alpha 78.07
_cell_angle_beta 78.07
_cell_angle_gamma 90.00
loop_
_symmetry_equiv_pos_as_xyz
'x,y,z'
loop_
_atom_site_label
_atom_site_type_symbol
_atom_site_fract_x
_atom_site_fract_y
_atom_site_fract_z
Sr1 Sr 0.500 0.500 0.000
Sr2 Sr 0.250 0.750 0.500
Zr1 Zr 0.655 0.125 0.250
Zr2 Zr 0.095 0.625 0.250
Zr3 Zr 0.375 0.345 0.750
Zr4 Zr 0.875 0.905 0.750
Ta1 Ta 0.000 0.000 0.000
Ta2 Ta 0.750 0.250 0.500
```


Record 7
SrZr2Ta | PBE | optimized geometry

Properties
Size of the total moment = 0.0 μB/f.u.
N(E_F) = 5.6 states/eV/f.u.
ΔH_f (0 K) = 0.52 eV/atom

```
data_SrZr2Ta
_symmetry_space_group_name_H-M 'P 1'
_symmetry_Int_Tables_number 1
_cell_length_a 5.055
_cell_length_b 3.163
_cell_length_c 6.830
_cell_angle_alpha 82.36
_cell_angle_beta 90.00
_cell_angle_gamma 90.00
loop_
_symmetry_equiv_pos_as_xyz
'x,y,z'
loop_
_atom_site_label
_atom_site_type_symbol
_atom_site_fract_x
_atom_site_fract_y
_atom_site_fract_z
Sr1 Sr 0.000 0.508 0.515
Ta1 Ta 0.500 0.799 0.823
Zr1 Zr 0.000 0.942 0.985
Zr2 Zr 0.500 0.251 0.178
```


Record 8
SrZr2Ta | PBE | optimized geometry

Properties
Size of the total moment = 0.0 μB/f.u.
N(E_F) = 4.2 states/eV/f.u.
ΔH_f (0 K) = 0.48 eV/atom

```
data_SrZr2Ta
_symmetry_space_group_name_H-M 'P 1'
_symmetry_Int_Tables_number 1
_cell_length_a 5.201
_cell_length_b 5.201
_cell_length_c 6.767
_cell_angle_alpha 86.03
_cell_angle_beta 86.03
_cell_angle_gamma 35.10
loop_
_symmetry_equiv_pos_as_xyz
'x,y,z'
loop_
_atom_site_label
_atom_site_type_symbol
_atom_site_fract_x
_atom_site_fract_y
_atom_site_fract_z
Sr1 Sr 0.750 0.750 0.750
Ta1 Ta 0.250 0.250 0.250
Zr1 Zr 0.985 0.985 0.061
Zr2 Zr 0.515 0.515 0.439
```